No. 1
An optimized crystal structure of NpSeI. Source: Alexandria via LeMat-Bulk, functional PBE.

Calculated values
Crystal system: orthorhombic
DOS(E_F): 8.15 states/eV/f.u.
E_form (uncorrected): -14.777 kcal/mol of atoms
Mass density: 6.39 g/cm3

a = 7.2180 Å, b = 4.3297 Å, c = 14.7259 Å
α = 90.00°, β = 90.00°, γ = 90.00°
Atoms (fractional coordinates):
Np (0.2429, 0.2500, 0.2499)
Np (0.2571, 0.7500, 0.7499)
Np (0.7429, 0.2500, 0.2501)
Np (0.7571, 0.7500, 0.7501)
Se (0.0069, 0.7500, 0.6118)
Se (0.4931, 0.2500, 0.1118)
Se (0.5069, 0.7500, 0.8882)
Se (0.9931, 0.2500, 0.3882)
I (0.0072, 0.2500, 0.8563)
I (0.4928, 0.7500, 0.3563)
I (0.5072, 0.2500, 0.6437)
I (0.9928, 0.7500, 0.1437)

=====

No. 2
An optimized crystal structure of Tb2YCdC. Source: Alexandria via LeMat-Bulk, functional PBE.

Calculated values
Energy of formation from the pure elements: -0.298 eV per atom
Crystal system: tetragonal
DOS(E_F): 7.24 states/eV/f.u.
Mass density: 7.25 g/cm3

a = 4.9734 Å, b = 4.9734 Å, c = 4.9153 Å
α = 90.00°, β = 90.00°, γ = 90.00°
Atoms (fractional coordinates):
Tb (0.0000, 0.5000, 0.0000)
Tb (0.5000, 0.0000, 0.0000)
Y (0.0000, 0.0000, 0.5000)
Cd (0.5000, 0.5000, 0.5000)
C (0.0000, 0.0000, 0.0000)

=====

No. 3
An optimized crystal structure of Cs3Hg5. Source: Alexandria via LeMat-Bulk, functional PBE.

Calculated values
Energy of formation from the pure elements: -0.253 eV per atom
Crystal system: orthorhombic
DOS(E_F): 4.23 states/eV/f.u.
Mass density: 6.54 g/cm3

a = 14.7394 Å, b = 12.3672 Å, c = 7.8041 Å
α = 90.00°, β = 90.00°, γ = 90.00°
Atoms (fractional coordinates):
Cs (0.0781, 0.2500, 0.1475)
Cs (0.1524, 0.5044, 0.6094)
Cs (0.1524, 0.9956, 0.6094)
Cs (0.3476, 0.0044, 0.1094)
Cs (0.3476, 0.4956, 0.1094)
Cs (0.4219, 0.7500, 0.6475)
Cs (0.5781, 0.2500, 0.3525)
Cs (0.6524, 0.5044, 0.8906)
Cs (0.6524, 0.9956, 0.8906)
Cs (0.8476, 0.0044, 0.3906)
Cs (0.8476, 0.4956, 0.3906)
Cs (0.9219, 0.7500, 0.8525)
Hg (0.0065, 0.7500, 0.3620)
Hg (0.0785, 0.5613, 0.1132)
Hg (0.0785, 0.9387, 0.1132)
Hg (0.1947, 0.7500, 0.9173)
Hg (0.2298, 0.7500, 0.3188)
Hg (0.2702, 0.2500, 0.8188)
Hg (0.3053, 0.2500, 0.4173)
Hg (0.4215, 0.0613, 0.6132)
Hg (0.4215, 0.4387, 0.6132)
Hg (0.4935, 0.2500, 0.8620)
Hg (0.5065, 0.7500, 0.1380)
Hg (0.5785, 0.5613, 0.3868)
Hg (0.5785, 0.9387, 0.3868)
Hg (0.6947, 0.7500, 0.5827)
Hg (0.7298, 0.7500, 0.1812)
Hg (0.7702, 0.2500, 0.6812)
Hg (0.8053, 0.2500, 0.0827)
Hg (0.9215, 0.0613, 0.8868)
Hg (0.9215, 0.4387, 0.8868)
Hg (0.9935, 0.2500, 0.6380)

=====

No. 4
An optimized crystal structure of YRh2Se. Source: Alexandria via LeMat-Bulk, functional PBE.

Calculated values
Crystal system: trigonal
DOS(E_F): 4.64 states/eV/f.u.
E_form (uncorrected): -13.240 kcal/mol of atoms
Mass density: 8.25 g/cm3

a = 4.3316 Å, b = 4.3316 Å, c = 13.8899 Å
α = 90.00°, β = 90.00°, γ = 120.00°
Atoms (fractional coordinates):
Y (0.0000, 0.0000, 0.0000)
Y (0.3333, 0.6667, 0.6667)
Y (0.6667, 0.3333, 0.3333)
Rh (0.0000, 0.0000, 0.2161)
Rh (0.0000, 0.0000, 0.4515)
Rh (0.3333, 0.6667, 0.1182)
Rh (0.3333, 0.6667, 0.8827)
Rh (0.6667, 0.3333, 0.5494)
Rh (0.6667, 0.3333, 0.7848)
Se (0.0000, 0.0000, 0.7968)
Se (0.3333, 0.6667, 0.4635)
Se (0.6667, 0.3333, 0.1302)

=====

No. 5
An optimized crystal structure of Be4Pt3Rh. Source: Alexandria via LeMat-Bulk, functional PBE.

Calculated values
Energy of formation from the pure elements: -0.776 eV per atom
Crystal system: tetragonal
DOS(E_F): 0.74 states/eV/f.u.
Mass density: 13.30 g/cm3

a = 2.8294 Å, b = 2.8294 Å, c = 11.2959 Å
α = 90.00°, β = 90.00°, γ = 90.00°
Atoms (fractional coordinates):
Be (0.0000, 0.0000, 0.1123)
Be (0.0000, 0.0000, 0.3706)
Be (0.0000, 0.0000, 0.6294)
Be (0.0000, 0.0000, 0.8877)
Pt (0.5000, 0.5000, 0.2481)
Pt (0.5000, 0.5000, 0.5000)
Pt (0.5000, 0.5000, 0.7519)
Rh (0.5000, 0.5000, 0.0000)

=====

No. 6
An optimized crystal structure of Pu2Th2N7. Source: Alexandria via LeMat-Bulk, functional PBE.

Calculated values
Crystal system: cubic
DOS(E_F): 6.10 states/eV/f.u.
E_form (uncorrected): -27.414 kcal/mol of atoms
Mass density: 10.91 g/cm3

a = 7.6747 Å, b = 7.6747 Å, c = 7.6747 Å
α = 60.00°, β = 60.00°, γ = 60.00°
Atoms (fractional coordinates):
Pu (0.0000, 0.0000, 0.0000)
Pu (0.0000, 0.0000, 0.5000)
Pu (0.0000, 0.5000, 0.0000)
Pu (0.5000, 0.0000, 0.0000)
Th (0.0000, 0.5000, 0.5000)
Th (0.5000, 0.0000, 0.5000)
Th (0.5000, 0.5000, 0.0000)
Th (0.5000, 0.5000, 0.5000)
N (0.0845, 0.0845, 0.6655)
N (0.0845, 0.6655, 0.0845)
N (0.0845, 0.6655, 0.6655)
N (0.3345, 0.3345, 0.9155)
N (0.3345, 0.9155, 0.3345)
N (0.3345, 0.9155, 0.9155)
N (0.3750, 0.3750, 0.3750)
N (0.6250, 0.6250, 0.6250)
N (0.6655, 0.0845, 0.0845)
N (0.6655, 0.0845, 0.6655)
N (0.6655, 0.6655, 0.0845)
N (0.9155, 0.3345, 0.3345)
N (0.9155, 0.3345, 0.9155)
N (0.9155, 0.9155, 0.3345)

=====

What did the second record say?
An optimized crystal structure of Tb2YCdC. Source: Alexandria via LeMat-Bulk, functional PBE.

Calculated values
Energy of formation from the pure elements: -0.298 eV per atom
Crystal system: tetragonal
DOS(E_F): 7.24 states/eV/f.u.
Mass density: 7.25 g/cm3

a = 4.9734 Å, b = 4.9734 Å, c = 4.9153 Å
α = 90.00°, β = 90.00°, γ = 90.00°
Atoms (fractional coordinates):
Tb (0.0000, 0.5000, 0.0000)
Tb (0.5000, 0.0000, 0.0000)
Y (0.0000, 0.0000, 0.5000)
Cd (0.5000, 0.5000, 0.5000)
C (0.0000, 0.0000, 0.0000)

=====

Which value of mass density does entry 6 give?
10.91 g/cm3

=====

Which value of mass density does entry 1 give?
6.39 g/cm3

=====

Which of these has the highest mass density?
Be4Pt3Rh